[1]
! CaGa3Au3 PBE optimized geometry; values from VASP
! M_tot (μB/atom): 0.00
! Energy relative to the lowest polymorph listed for this composition (meV per atom): 255
! Energy relative to the elements (kJ/mol of formula units): -131
&SYSTEM
  ibrav = 0, nat = 14, ntyp = 3
/
ATOMIC_SPECIES
Ga 69.72 Ga.upf
Au 196.97 Au.upf
Ca 40.08 Ca.upf
CELL_PARAMETERS angstrom
7.101 0.000 0.000
0.000 7.101 0.000
0.000 0.000 7.101
ATOMIC_POSITIONS crystal
Ga 0.500 0.000 0.250
Ga 0.250 0.500 0.000
Au 0.000 0.500 0.750
Au 0.250 0.000 0.500
Au 0.500 0.250 0.000
Ga 0.500 0.000 0.750
Ga 0.000 0.250 0.500
Ca 0.000 0.000 0.000
Au 0.500 0.750 0.000
Au 0.750 0.000 0.500
Ga 0.750 0.500 0.000
Ga 0.000 0.750 0.500
Au 0.000 0.500 0.250
Ca 0.500 0.500 0.500

[2]
! NpTcGeIr PBE optimized geometry; values from VASP
! M_tot (μB/atom): 0.77
! Energy relative to the elements (kJ/mol of formula units): -48
&SYSTEM
  ibrav = 0, nat = 4, ntyp = 4
/
ATOMIC_SPECIES
Ge 72.64 Ge.upf
Tc 98.00 Tc.upf
Ir 192.22 Ir.upf
Np 237.00 Np.upf
CELL_PARAMETERS angstrom
4.593 0.000 0.000
2.296 3.977 0.000
2.296 1.326 3.750
ATOMIC_POSITIONS crystal
Ge 0.250 0.250 0.250
Tc 0.500 0.500 0.500
Ir 0.000 0.000 0.000
Np 0.750 0.750 0.750

[3]
! TmAs2Pb PBE optimized geometry; values from VASP
! M_tot (μB/atom): 0.00
! Energy relative to the elements (kJ/mol of formula units): -233
&SYSTEM
  ibrav = 0, nat = 4, ntyp = 3
/
ATOMIC_SPECIES
Pb 207.20 Pb.upf
Tm 168.93 Tm.upf
As 74.92 As.upf
CELL_PARAMETERS angstrom
-2.598 3.193 -0.462
-2.260 1.313 3.214
3.551 5.971 2.727
ATOMIC_POSITIONS crystal
Pb 0.500 0.500 0.500
Tm 0.000 0.000 0.000
As 0.742 0.742 0.775
As 0.258 0.258 0.225

[4]
! LiAc2Pt PBE optimized geometry; values from VASP
! M_tot (μB/atom): 0.00
! Energy relative to the elements (kJ/mol of formula units): -211
&SYSTEM
  ibrav = 0, nat = 4, ntyp = 3
/
ATOMIC_SPECIES
Ac 227.00 Ac.upf
Li 6.94 Li.upf
Pt 195.08 Pt.upf
CELL_PARAMETERS angstrom
4.403 0.000 0.000
2.202 3.805 0.015
2.202 1.233 7.457
ATOMIC_POSITIONS crystal
Ac 0.712 0.476 0.099
Ac 0.892 0.656 0.560
Li 0.135 0.898 0.832
Pt 0.471 0.233 0.826

[5]
! Li2La2PrSb2 PBE optimized geometry; values from VASP
! M_tot (μB/atom): 0.00
! Raw formation energy (eV/f.u.): -4.53
&SYSTEM
  ibrav = 0, nat = 7, ntyp = 4
/
ATOMIC_SPECIES
Sb 121.76 Sb.upf
Li 6.94 Li.upf
Pr 140.91 Pr.upf
La 138.91 La.upf
CELL_PARAMETERS angstrom
-0.028 4.690 0.937
-2.178 1.640 3.929
7.397 1.180 6.519
ATOMIC_POSITIONS crystal
Sb 0.265 0.265 0.204
Li 0.405 0.405 0.784
Pr 0.000 0.000 0.000
La 0.868 0.868 0.397
La 0.132 0.132 0.603
Li 0.595 0.595 0.216
Sb 0.735 0.735 0.796

[6]
! K2RbZnCl5 PBE optimized geometry; values from VASP
! M_tot (μB/atom): 0.02
! Raw formation energy (eV/f.u.): -15.44
&SYSTEM
  ibrav = 0, nat = 18, ntyp = 4
/
ATOMIC_SPECIES
K 39.10 K.upf
Cl 35.45 Cl.upf
Rb 85.47 Rb.upf
Zn 65.41 Zn.upf
CELL_PARAMETERS angstrom
8.731 0.000 0.000
0.000 8.731 0.000
-4.366 -4.366 7.098
ATOMIC_POSITIONS crystal
K 0.834 0.666 0.000
K 0.666 0.166 0.000
Cl 0.500 0.500 0.000
Cl 0.207 0.995 0.701
Rb 0.750 0.750 0.500
Cl 0.293 0.793 0.299
Cl 0.495 0.707 0.701
K 0.334 0.834 0.000
Cl 0.995 0.495 0.701
Rb 0.250 0.250 0.500
Cl 0.707 0.207 0.701
K 0.166 0.334 0.000
Zn 0.250 0.750 0.500
Zn 0.750 0.250 0.500
Cl 0.000 0.000 0.000
Cl 0.793 0.005 0.299
Cl 0.005 0.505 0.299
Cl 0.505 0.293 0.299